No. 1
Here is a relaxed structure of LiGaAgGe from Alexandria via LeMat-Bulk. Energies are from PBE.

a b c (Å): 4.595 4.595 4.595
angles (deg): 60.00 60.00 60.00
Sites, in units of the cell vectors:
Ag (0.750, 0.750, 0.750)
Li (0.000, 0.000, 0.000)
Ga (0.500, 0.500, 0.500)
Ge (0.250, 0.250, 0.250)

Values from the calculation:
* D(E_F): 1.88 states/eV/f.u.
* DFT formation energy: -0.08 eV/atom
* crystal system: cubic

No. 2
Here is a relaxed structure of Na2Ga4AgGe3 from Alexandria via LeMat-Bulk. Energies are from PBE.

a b c (Å): 4.443 4.443 10.839
angles (deg): 90.00 90.00 90.00
Sites, in units of the cell vectors:
Ge (0.000, 0.000, 0.500)
Ge (0.000, 0.500, 0.132)
Ge (0.500, 0.000, 0.868)
Ga (0.500, 0.000, 0.637)
Ga (0.000, 0.500, 0.363)
Ga (0.500, 0.500, 0.000)
Ga (0.000, 0.000, 0.000)
Na (0.500, 0.000, 0.260)
Na (0.000, 0.500, 0.740)
Ag (0.500, 0.500, 0.500)

Values from the calculation:
* D(E_F): 4.11 states/eV/f.u.
* DFT formation energy: -0.08 eV/atom
* crystal system: tetragonal

No. 3
Here is a relaxed structure of Ga2Ag2GeO6 from Alexandria via LeMat-Bulk. Energies are from PBE.

a b c (Å): 5.170 5.170 6.432
angles (deg): 84.38 84.38 120.08
Sites, in units of the cell vectors:
O (0.046, 0.719, 0.338)
O (0.353, 0.353, 0.346)
O (0.647, 0.647, 0.654)
O (0.954, 0.281, 0.662)
O (0.281, 0.954, 0.662)
O (0.719, 0.046, 0.338)
Ga (0.338, 0.662, 0.500)
Ga (0.662, 0.338, 0.500)
Ag (0.834, 0.166, 0.000)
Ag (0.166, 0.834, 0.000)
Ge (0.000, 0.000, 0.500)

Values from the calculation:
* raw formation energy: -1384 kJ/mol of formula units
* crystal system: monoclinic

No. 4
Here is a relaxed structure of Ga2AgGeO6 from Alexandria via LeMat-Bulk. Energies are from PBE.

a b c (Å): 5.785 7.252 7.252
angles (deg): 101.10 73.56 73.56
Sites, in units of the cell vectors:
O (0.832, 0.031, 0.212)
O (0.332, 0.212, 0.031)
O (0.485, 0.437, 0.318)
O (0.168, 0.969, 0.788)
O (0.947, 0.371, 0.847)
O (0.515, 0.563, 0.682)
O (0.668, 0.788, 0.969)
O (0.015, 0.682, 0.563)
O (0.553, 0.153, 0.629)
O (0.447, 0.847, 0.371)
O (0.985, 0.318, 0.437)
O (0.053, 0.629, 0.153)
Ga (0.672, 0.287, 0.445)
Ga (0.828, 0.555, 0.713)
Ga (0.172, 0.445, 0.287)
Ga (0.328, 0.713, 0.555)
Ag (0.250, 0.898, 0.102)
Ag (0.750, 0.102, 0.898)
Ge (0.250, 0.195, 0.805)
Ge (0.750, 0.805, 0.195)

Values from the calculation:
* D(E_F): 3.66 states/eV/f.u.
* raw formation energy: -1287 kJ/mol of formula units
* crystal system: monoclinic

No. 5
Here is a relaxed structure of GaAg2GeO4 from Alexandria via LeMat-Bulk. Energies are from PBE.

a b c (Å): 5.614 5.614 5.614
angles (deg): 82.81 124.23 124.23
Sites, in units of the cell vectors:
O (0.390, 0.864, 0.771)
O (0.094, 0.229, 0.620)
O (0.610, 0.380, 0.474)
O (0.906, 0.526, 0.136)
Ge (0.000, 0.500, 0.500)
Ag (0.000, 0.000, 0.000)
Ag (0.500, 0.750, 0.250)
Ga (0.500, 0.250, 0.750)

Values from the calculation:
* D(E_F): 0.62 states/eV/f.u.
* raw formation energy: -798 kJ/mol of formula units
* crystal system: tetragonal

No. 6
Here is a relaxed structure of PuGaAgGe from Alexandria via LeMat-Bulk. Energies are from PBE.

a b c (Å): 4.853 4.853 4.853
angles (deg): 60.00 60.00 60.00
Sites, in units of the cell vectors:
Pu (0.500, 0.500, 0.500)
Ga (0.250, 0.250, 0.250)
Ge (0.750, 0.750, 0.750)
Ag (0.000, 0.000, 0.000)

Values from the calculation:
* D(E_F): 9.68 states/eV/f.u.
* DFT formation energy: -0.19 eV/atom
* crystal system: cubic

No. 7
Here is a relaxed structure of GaAg2GeS4 from Alexandria via LeMat-Bulk. Energies are from PBE.

a b c (Å): 5.801 5.802 6.872
angles (deg): 115.01 115.00 90.00
Sites, in units of the cell vectors:
Ag (0.486, 0.986, 0.972)
Ag (0.236, 0.236, 0.472)
S (0.867, 0.385, 0.215)
S (0.348, 0.830, 0.215)
S (0.087, 0.124, 0.729)
S (0.642, 0.605, 0.729)
Ge (0.736, 0.736, 0.472)
Ga (0.986, 0.486, 0.972)

Values from the calculation:
* D(E_F): 4.19 states/eV/f.u.
* raw formation energy: -225 kJ/mol of formula units
* crystal system: tetragonal

No. 8
Here is a relaxed structure of ScGaAgGe2 from Alexandria via LeMat-Bulk. Energies are from PBE.

a b c (Å): 4.856 5.290 4.856
angles (deg): 90.00 90.00 90.00
Sites, in units of the cell vectors:
Sc (0.000, 0.500, 0.000)
Ag (0.000, 0.000, 0.000)
Ge (0.500, 0.000, 0.000)
Ge (0.000, 0.000, 0.500)
Ga (0.500, 0.500, 0.500)

Values from the calculation:
* D(E_F): 4.21 states/eV/f.u.
* DFT formation energy: 0.52 eV/atom
* crystal system: tetragonal

No. 9
Here is a relaxed structure of GaAg2GeSe4 from Alexandria via LeMat-Bulk. Energies are from PBE.

a b c (Å): 6.074 6.073 7.234
angles (deg): 114.83 114.82 90.00
Sites, in units of the cell vectors:
Ag (0.236, 0.236, 0.472)
Ag (0.486, 0.986, 0.972)
Ga (0.986, 0.486, 0.972)
Se (0.867, 0.378, 0.215)
Se (0.349, 0.837, 0.215)
Se (0.093, 0.123, 0.728)
Se (0.635, 0.605, 0.728)
Ge (0.736, 0.736, 0.472)

Values from the calculation:
* D(E_F): 4.21 states/eV/f.u.
* raw formation energy: -213 kJ/mol of formula units
* crystal system: tetragonal

No. 10
Here is a relaxed structure of GaAgSnGe from Alexandria via LeMat-Bulk. Energies are from PBE.

a b c (Å): 4.943 4.943 4.943
angles (deg): 60.00 60.00 60.00
Sites, in units of the cell vectors:
Ga (0.000, 0.000, 0.000)
Sn (0.500, 0.500, 0.500)
Ge (0.250, 0.250, 0.250)
Ag (0.750, 0.750, 0.750)

Values from the calculation:
* D(E_F): 0.86 states/eV/f.u.
* DFT formation energy: 0.15 eV/atom
* crystal system: cubic

No. 11
Here is a relaxed structure of Sr2GaAg3Ge4 from Alexandria via LeMat-Bulk. Energies are from PBE.

a b c (Å): 4.412 4.412 11.394
angles (deg): 90.00 90.00 90.00
Sites, in units of the cell vectors:
Ga (0.500, 0.500, 0.500)
Ag (0.000, 0.500, 0.137)
Ag (0.000, 0.000, 0.500)
Ag (0.500, 0.000, 0.863)
Ge (0.500, 0.500, 0.000)
Ge (0.000, 0.500, 0.365)
Ge (0.000, 0.000, 0.000)
Ge (0.500, 0.000, 0.635)
Sr (0.000, 0.500, 0.748)
Sr (0.500, 0.000, 0.252)

Values from the calculation:
* D(E_F): 3.38 states/eV/f.u.
* DFT formation energy: -0.31 eV/atom
* crystal system: tetragonal

No. 12
Here is a relaxed structure of Sr2Ga4AgGe3 from Alexandria via LeMat-Bulk. Energies are from PBE.

a b c (Å): 4.639 4.639 10.453
angles (deg): 90.00 90.00 90.00
Sites, in units of the cell vectors:
Ge (0.500, 0.000, 0.873)
Ge (0.000, 0.500, 0.127)
Ge (0.000, 0.000, 0.500)
Ga (0.500, 0.000, 0.627)
Ga (0.000, 0.500, 0.373)
Ga (0.500, 0.500, 0.000)
Ga (0.000, 0.000, 0.000)
Ag (0.500, 0.500, 0.500)
Sr (0.000, 0.500, 0.747)
Sr (0.500, 0.000, 0.253)

Values from the calculation:
* D(E_F): 3.36 states/eV/f.u.
* DFT formation energy: -0.33 eV/atom
* crystal system: tetragonal